# 1
Material: Sc2NiW
Method: DFT, PBE-GGA
State: relaxed

Calculated values
energy above the lowest structure with this stoichiometry: 0.0 meV/atom
total moment: 0.00 μB per atom
crystal system: orthorhombic
formation enthalpy at 0 K: -0.027 eV/atom

Cell lengths 4.1020, 4.2650, 7.8517 Å; angles 90.00, 90.00, 90.00 degrees
Last column: nearest neighbours and their distance in Å.
Positions (direct):
1 Sc 0.0000 0.0000 0.2216  4 Ni 2.69-2.75, 4 Sc 2.96, 2 W 3.00
2 Sc 0.0000 0.0000 0.7784  4 Ni 2.69-2.75, 4 Sc 2.96, 2 W 3.00
3 Sc 0.5000 0.5000 0.2216  4 Ni 2.69-2.75, 4 Sc 2.96, 2 W 3.00
4 Sc 0.5000 0.5000 0.7784  4 Ni 2.69-2.75, 4 Sc 2.96, 2 W 3.00
5 Ni 0.0000 0.5000 0.0000  8 Sc 2.69-2.75, 4 Ni 2.96
6 Ni 0.5000 0.0000 0.0000  8 Sc 2.69-2.75, 4 Ni 2.96
7 W 0.0000 0.5000 0.5000  4 W 2.96, 8 Sc 3.00-3.05
8 W 0.5000 0.0000 0.5000  4 W 2.96, 8 Sc 3.00-3.05

***

# 2
Material: Sc3NiW
Method: DFT, PBE-GGA
State: relaxed

Calculated values
energy above the lowest structure with this stoichiometry: 0.0 meV/atom
total moment: 0.00 μB per atom
crystal system: cubic
formation enthalpy at 0 K: 0.554 eV/atom

Cell lengths 4.7203, 4.7203, 4.7203 Å; angles 90.00, 90.00, 90.00 degrees
Last column: nearest neighbours and their distance in Å.
Positions (direct):
1 Sc 0.0000 0.0000 0.5000  2 Ni 2.36
2 Sc 0.0000 0.5000 0.0000  2 Ni 2.36
3 Sc 0.5000 0.0000 0.0000  2 Ni 2.36
4 Ni 0.0000 0.0000 0.0000  6 Sc 2.36
5 W 0.5000 0.5000 0.5000  12 Sc 3.34